[1]
Crystalline Hg2Sb2S5 at its relaxed geometry, computed with PBE.

Summary:
E_form (uncorrected) = -0.140 eV per atom
Calculated density = 5.31 Mg/m³
Total energy = -3.417 eV/atom

a b c (Å): 9.6809 9.6809 6.6263
angles (deg): 96.65 96.65 24.10
Closest atoms and distances in Å follow each position.
Element x y z (fractional)
Hg (0.1312, 0.1312, 0.3281)  3 S 2.46-2.59
Hg (0.8688, 0.8688, 0.6719)  3 S 2.46-2.59
Sb (0.4291, 0.4291, 0.2267)  3 S 2.46-2.68
Sb (0.5709, 0.5709, 0.7733)  3 S 2.46-2.68
S (0.0000, 0.0000, 0.5000)  2 Hg 2.85, 4 Sb 2.93
S (0.1439, 0.1439, 0.9625)  1 Hg 2.46, 2 Sb 2.68
S (0.3312, 0.3312, 0.4406)  1 Sb 2.46, 2 Hg 2.59
S (0.6688, 0.6688, 0.5594)  1 Sb 2.46, 2 Hg 2.59
S (0.8561, 0.8561, 0.0375)  1 Hg 2.46, 2 Sb 2.68

***

[2]
Crystalline HgSb5S8 at its relaxed geometry, computed with PBE.

Summary:
E_form (uncorrected) = -0.164 eV per atom
Calculated density = 4.44 Mg/m³
Total energy = -4.016 eV/atom
DOS at the Fermi energy = 6.5 states/eV/f.u.

a b c (Å): 10.5949 10.5949 10.0790
angles (deg): 98.90 98.90 20.88
Closest atoms and distances in Å follow each position.
Element x y z (fractional)
Hg (0.0000, 0.0000, 0.0000)  2 Hg 3.84, 10 S 4.01-4.20
Sb (0.1579, 0.1579, 0.4827)  3 S 2.62
Sb (0.2030, 0.2030, 0.8529)  5 S 2.50-2.77
Sb (0.5004, 0.5004, 0.4966)  6 S 2.73
Sb (0.7977, 0.7977, 0.1409)  5 S 2.50-2.77
Sb (0.8429, 0.8429, 0.5109)  3 S 2.62
S (0.0717, 0.0717, 0.6456)  3 Sb 2.62-2.73
S (0.2690, 0.2690, 0.3213)  5 Sb 2.77-3.03
S (0.3198, 0.3198, 0.9605)  3 Sb 2.50-2.73
S (0.4052, 0.4052, 0.6545)  3 Sb 2.62-2.73
S (0.5955, 0.5955, 0.3389)  3 Sb 2.62-2.73
S (0.6809, 0.6809, 0.0332)  3 Sb 2.50-2.73
S (0.7315, 0.7315, 0.6722)  5 Sb 2.77-3.04
S (0.9289, 0.9289, 0.3476)  3 Sb 2.62-2.73

***

[3]
Crystalline HgSb2S6 at its relaxed geometry, computed with PBE.

Summary:
E_form (uncorrected) = 0.167 eV per atom
Calculated density = 4.74 Mg/m³
Total energy = -3.535 eV/atom
DOS at the Fermi energy = 6.2 states/eV/f.u.

a b c (Å): 6.1933 6.1933 11.6199
angles (deg): 90.00 90.00 90.00
Closest atoms and distances in Å follow each position.
Element x y z (fractional)
Hg (0.0000, 0.0000, 0.0000)  6 S 2.65-2.72
Hg (0.5000, 0.5000, 0.5000)  6 S 2.65-2.72
Sb (0.0000, 0.0000, 0.3336)  6 S 2.54-2.63
Sb (0.0000, 0.0000, 0.6664)  6 S 2.54-2.63
Sb (0.5000, 0.5000, 0.1664)  6 S 2.54-2.63
Sb (0.5000, 0.5000, 0.8336)  6 S 2.54-2.63
S (0.1889, 0.1889, 0.5000)  2 Sb 2.54, 1 Hg 2.72
S (0.1997, 0.1997, 0.1708)  2 Sb 2.58-2.63, 1 Hg 2.65
S (0.1997, 0.1997, 0.8292)  2 Sb 2.58-2.63, 1 Hg 2.65
S (0.3003, 0.6997, 0.3292)  2 Sb 2.58-2.63, 1 Hg 2.65
S (0.3003, 0.6997, 0.6708)  2 Sb 2.58-2.63, 1 Hg 2.65
S (0.3111, 0.6889, 0.0000)  2 Sb 2.54, 1 Hg 2.72
S (0.6889, 0.3111, 0.0000)  2 Sb 2.54, 1 Hg 2.72
S (0.6997, 0.3003, 0.3292)  2 Sb 2.58-2.63, 1 Hg 2.65
S (0.6997, 0.3003, 0.6708)  2 Sb 2.58-2.63, 1 Hg 2.65
S (0.8003, 0.8003, 0.1708)  2 Sb 2.58-2.63, 1 Hg 2.65
S (0.8003, 0.8003, 0.8292)  2 Sb 2.58-2.63, 1 Hg 2.65
S (0.8111, 0.8111, 0.5000)  2 Sb 2.54, 1 Hg 2.72